No. 1
Here is crystalline MnCdGaPd at its relaxed geometry from Alexandria via LeMat-Bulk. Energies are from PBE.

a b c (Å): 6.383 6.383 6.383
angles (deg): 90.00 90.00 90.00
Fractional coordinates of all 16 atoms:
Mn1 0.000 0.000 0.000
Mn2 0.000 0.500 0.500
Mn3 0.500 0.000 0.500
Mn4 0.500 0.500 0.000
Cd1 0.250 0.250 0.750
Cd2 0.250 0.750 0.250
Cd3 0.750 0.250 0.250
Cd4 0.750 0.750 0.750
Ga1 0.250 0.250 0.250
Ga2 0.250 0.750 0.750
Ga3 0.750 0.250 0.750
Ga4 0.750 0.750 0.250
Pd1 0.000 0.000 0.500
Pd2 0.000 0.500 0.000
Pd3 0.500 0.000 0.000
Pd4 0.500 0.500 0.500

Calculated values
Its final energy is -4.712 eV/atom.

=====

No. 2
Here is crystalline InSnH6Os2 at its relaxed geometry from Alexandria via LeMat-Bulk. Energies are from PBE.

a b c (Å): 5.436 5.436 7.789
angles (deg): 93.19 93.19 98.77
Fractional coordinates of all 20 atoms:
In1 0.033 0.967 0.750
In2 0.967 0.033 0.250
Sn1 0.461 0.539 0.750
Sn2 0.539 0.461 0.250
H1 0.047 0.366 0.633
H2 0.110 0.682 0.977
H3 0.126 0.429 0.367
H4 0.318 0.890 0.523
H5 0.366 0.047 0.133
H6 0.429 0.126 0.867
H7 0.571 0.874 0.133
H8 0.634 0.953 0.867
H9 0.682 0.110 0.477
H10 0.874 0.571 0.633
H11 0.890 0.318 0.023
H12 0.953 0.634 0.367
Os1 0.049 0.541 0.184
Os2 0.459 0.951 0.316
Os3 0.541 0.049 0.684
Os4 0.951 0.459 0.816

Calculated values
Its final energy is -4.714 eV/atom.

=====

No. 3
Here is crystalline Cs2AlGa at its relaxed geometry from Alexandria via LeMat-Bulk. Energies are from PBE.

a b c (Å): 8.920 8.920 8.920
angles (deg): 90.00 90.00 90.00
Fractional coordinates of all 16 atoms:
Cs1 0.250 0.250 0.250
Cs2 0.250 0.250 0.750
Cs3 0.250 0.750 0.250
Cs4 0.250 0.750 0.750
Cs5 0.750 0.250 0.250
Cs6 0.750 0.250 0.750
Cs7 0.750 0.750 0.250
Cs8 0.750 0.750 0.750
Al1 0.000 0.000 0.000
Al2 0.000 0.500 0.500
Al3 0.500 0.000 0.500
Al4 0.500 0.500 0.000
Ga1 0.000 0.000 0.500
Ga2 0.000 0.500 0.000
Ga3 0.500 0.000 0.000
Ga4 0.500 0.500 0.500

Calculated values
Its final energy is -1.607 eV/atom.

=====

No. 4
Here is crystalline HfHgS2 at its relaxed geometry from Alexandria via LeMat-Bulk. Energies are from PBE.

a b c (Å): 3.634 3.634 9.948
angles (deg): 91.40 90.18 120.00
Fractional coordinates of all 4 atoms:
Hf1 0.000 0.000 0.000
Hg1 0.969 0.002 0.500
S1 0.325 0.653 0.854
S2 0.675 0.347 0.146

Calculated values
The uncorrected formation energy comes out at -1.171 eV/atom.

=====

No. 5
Here is crystalline NdSm4Ga3 at its relaxed geometry from Alexandria via LeMat-Bulk. Energies are from PBE.

a b c (Å): 8.984 8.984 8.984
angles (deg): 96.51 96.51 140.65
Fractional coordinates of all 16 atoms:
Nd1 0.250 0.750 0.500
Nd2 0.750 0.250 0.500
Sm1 0.087 0.786 0.873
Sm2 0.214 0.087 0.300
Sm3 0.286 0.587 0.873
Sm4 0.413 0.286 0.700
Sm5 0.587 0.714 0.300
Sm6 0.714 0.413 0.127
Sm7 0.786 0.913 0.700
Sm8 0.913 0.214 0.127
Ga1 0.160 0.340 0.500
Ga2 0.250 0.250 0.000
Ga3 0.340 0.840 0.179
Ga4 0.660 0.160 0.821
Ga5 0.750 0.750 0.000
Ga6 0.840 0.660 0.500

Calculated values
Its final energy is -4.540 eV/atom.

=====

No. 6
Here is crystalline La2SbSe at its relaxed geometry from Alexandria via LeMat-Bulk. Energies are from PBE.

a b c (Å): 7.613 7.613 7.613
angles (deg): 90.00 90.00 90.00
Fractional coordinates of all 16 atoms:
La1 0.000 0.000 0.000
La2 0.000 0.500 0.500
La3 0.250 0.250 0.250
La4 0.250 0.750 0.750
La5 0.500 0.000 0.500
La6 0.500 0.500 0.000
La7 0.750 0.250 0.750
La8 0.750 0.750 0.250
Sb1 0.250 0.250 0.750
Sb2 0.250 0.750 0.250
Sb3 0.750 0.250 0.250
Sb4 0.750 0.750 0.750
Se1 0.000 0.000 0.500
Se2 0.000 0.500 0.000
Se3 0.500 0.000 0.000
Se4 0.500 0.500 0.500

Calculated values
The uncorrected formation energy comes out at -0.623 eV/atom. The relative energy among the computed polymorphs comes out at 1020 meV per atom.

=====

No. 7
Here is crystalline Y2Be2Sb at its relaxed geometry from Alexandria via LeMat-Bulk. Energies are from PBE.

a b c (Å): 6.834 6.834 4.294
angles (deg): 90.00 90.00 90.00
Fractional coordinates of all 10 atoms:
Y1 0.171 0.329 0.000
Y2 0.329 0.829 0.000
Y3 0.671 0.171 0.000
Y4 0.829 0.671 0.000
Be1 0.112 0.612 0.500
Be2 0.388 0.112 0.500
Be3 0.612 0.888 0.500
Be4 0.888 0.388 0.500
Sb1 0.000 0.000 0.500
Sb2 0.500 0.500 0.500

Calculated values
The uncorrected formation energy comes out at -0.344 eV/atom. The relative energy among the computed polymorphs comes out at 0 meV per atom.

=====

No. 8
Here is crystalline BaVAg2Cl8 at its relaxed geometry from Alexandria via LeMat-Bulk. Energies are from PBE.

a b c (Å): 6.317 7.076 8.623
angles (deg): 69.04 89.51 81.71
Fractional coordinates of all 12 atoms:
Ba1 0.000 0.000 0.000
V1 0.000 0.000 0.500
Ag1 0.474 0.339 0.208
Ag2 0.526 0.661 0.792
Cl1 0.076 0.243 0.237
Cl2 0.140 0.190 0.635
Cl3 0.330 0.811 0.511
Cl4 0.448 0.735 0.065
Cl5 0.552 0.265 0.935
Cl6 0.670 0.189 0.489
Cl7 0.860 0.810 0.365
Cl8 0.924 0.757 0.763

Calculated values
The uncorrected formation energy comes out at -1.208 eV/atom.